Ho2As2Se PBE optimized geometry; total moment = 0.00 μB per cell; electronic total energy = -5.2144 eV/atom
1.0
3.735 -9.017 7.983
6.153 -3.149 10.545
-7.826 6.484 -7.463
As Se Ho
4 2 4
Direct
0.180 0.180 0.000
0.000 0.500 0.500
0.820 0.820 0.000
0.500 0.000 0.500
0.677 0.677 0.000
0.323 0.323 0.000
0.066 0.066 0.000
0.250 0.750 0.500
0.934 0.934 0.000
0.750 0.250 0.500